5
Lattice="5.869 0.000 0.000 0.000 5.869 0.000 0.000 0.000 4.931" Properties=species:S:1:pos:R:3 comment="Ca2MnNiSb, relaxed, DFT GGA-PBE" e_form_raw_ev_per_fu=2.6 volume_a3_per_cell=170 n_ef_per_ev_atom=0.5095 pbc="T T T"
Ca 0.000 2.935 0.000
Ca 2.935 0.000 0.000
Mn 0.000 0.000 2.465
Ni 2.935 2.935 2.465
Sb 0.000 0.000 0.000